Compound: LiTaCl2
Source: Alexandria via LeMat-Bulk
Functional: PBE
Structure: relaxed

Computed properties:
Its final energy is -19.5 eV/cell. The value obtained for the excess energy over the best structure of this formula in the dataset is 239 meV per atom. Its volume is 22.2 Å³/atom. The uncorrected formation energy comes out at -48.5 kJ/mol of atoms.

a = 10.4937 Å, b = 10.4937 Å, c = 10.4937 Å
α = 17.26°, β = 17.26°, γ = 17.26°
With the nearest neighbours (Å) after each atom.
Sites, in units of the cell vectors:
Li1 0.0000 0.0000 0.0000  6 Li 3.15, 2 Cl 3.36
Ta1 0.5000 0.5000 0.5000  6 Cl 2.56
Cl1 0.1084 0.1084 0.1084  3 Ta 2.56
Cl2 0.8916 0.8916 0.8916  3 Ta 2.56